6
Lattice="-1.804 -0.418 4.506 -2.749 3.564 1.863 -4.777 -0.698 0.657" Properties=species:S:1:pos:R:3 comment="TaSi4Ru PBE optimized geometry" energy_ev_per_atom=-6.883 n_ef_per_ev_atom=0.798 sg="F-43m, No. 216" volume_a3_per_atom=13.6 pbc="T T T"
Ta -2.333 0.612 1.757
Si -4.930 1.741 2.133
Si -3.439 1.882 4.065
Si -5.835 1.532 4.394
Ru 0.000 0.000 0.000
Si -4.456 -0.257 3.460